[1]
First-principles (GGA-PBE) data for Ce3Te2O after structural relaxation, as listed in Alexandria via LeMat-Bulk.

## Properties
The space group is No. 15. As for the crystal system: monoclinic. The calculation puts the total DFT energy (no corrections) at -77.9 eV for the cell shown.

Structure (extended XYZ):
```
12
Lattice="6.263 0.000 0.000 0.000 8.031 0.048 -3.132 -1.971 6.428" Properties=species:S:1:pos:R:3 pbc="T T T"
Ce 2.803 2.008 0.012
Ce 3.460 6.023 0.036
Ce -0.026 0.072 1.589
Ce 3.106 1.973 4.863
Ce 0.026 4.087 1.613
Ce 3.158 5.988 4.887
Te 3.154 4.006 2.401
Te 3.110 -0.010 2.377
Te 0.022 6.069 4.098
Te -0.022 2.054 4.074
O 5.745 6.023 0.036
O 0.519 2.008 0.012
```

=====

[2]
First-principles (GGA-PBE) data for Ce3Te3O after structural relaxation, as listed in Alexandria via LeMat-Bulk.

## Properties
The distance to the lowest polymorph of the same formula is 20 meV per atom. The space group is No. 12. As for the crystal system: monoclinic. The calculation puts the total DFT energy (no corrections) at -89.5 eV for the cell shown.

Structure (extended XYZ):
```
14
Lattice="7.691 0.395 -0.028 -3.072 7.062 -0.028 -0.721 -1.164 7.513" Properties=species:S:1:pos:R:3 pbc="T T T"
Ce 4.078 6.585 1.205
Ce 4.301 3.396 5.328
Ce 1.124 5.364 5.328
Ce -0.403 2.898 2.131
Ce 2.774 0.930 2.131
Ce -0.180 -0.291 6.253
Te 2.582 4.169 2.516
Te -1.688 5.399 3.729
Te 5.586 0.894 3.729
Te -0.500 5.468 -0.028
Te 5.118 1.989 -0.028
Te 1.316 2.125 4.942
O 3.129 5.052 6.375
O 0.769 1.242 1.083
```

=====

[3]
First-principles (GGA-PBE) data for Ce6Te5O after structural relaxation, as listed in Alexandria via LeMat-Bulk.

## Properties
The space group is No. 12. As for the crystal system: monoclinic. The calculation puts the total DFT energy (no corrections) at -74.0 eV for the cell shown.

Structure (extended XYZ):
```
12
Lattice="-1.781 0.102 -7.247 6.319 -0.404 -4.176 2.750 -6.708 -2.079" Properties=species:S:1:pos:R:3 pbc="T T T"
Ce -0.204 -1.841 -6.585
Ce 4.510 -2.136 -4.833
Ce 0.906 -0.061 -2.657
Ce 3.632 -0.241 -8.765
Ce 2.778 -4.873 -8.669
Ce 7.492 -5.168 -6.917
Te 2.013 -4.208 -5.706
Te 3.027 -2.317 -2.085
Te 2.269 -0.151 -5.711
Te 6.043 -4.795 -4.170
Te 5.275 -2.801 -7.796
O 0.000 0.000 0.000
```

=====

[4]
First-principles (GGA-PBE) data for Ce2TeO3 after structural relaxation, as listed in Alexandria via LeMat-Bulk.

## Properties
The space group is No. 191. As for the crystal system: hexagonal. The calculation puts the total DFT energy (no corrections) at -46.2 eV for the cell shown.

Structure (extended XYZ):
```
6
Lattice="-2.492 -0.782 1.922 2.456 -5.498 0.946 1.397 4.640 3.699" Properties=species:S:1:pos:R:3 pbc="T T T"
Ce 1.750 1.260 2.781
Ce 2.103 -2.119 1.864
Te 0.000 0.000 0.000
O -0.018 -3.140 1.434
O 0.680 -0.820 3.284
O -0.548 1.929 2.811
```

=====

[5]
First-principles (GGA-PBE) data for Ce4Te3O2 after structural relaxation, as listed in Alexandria via LeMat-Bulk.

## Properties
The space group is No. 12. As for the crystal system: monoclinic. The calculation puts the total DFT energy (no corrections) at -62.1 eV for the cell shown.

Structure (extended XYZ):
```
9
Lattice="-0.217 -1.624 3.800 5.581 -3.209 -3.306 1.322 8.371 3.652" Properties=species:S:1:pos:R:3 pbc="T T T"
Ce 2.113 -1.346 1.798
Ce 4.573 4.884 2.348
Ce 4.846 1.050 2.978
Ce 1.841 2.488 1.168
Te 2.046 4.283 4.200
Te 0.000 0.000 0.000
Te 4.641 -0.745 -0.054
O 2.502 0.765 2.722
O 4.184 2.774 1.424
```

=====

[6]
First-principles (GGA-PBE) data for Ce3Te3O after structural relaxation, as listed in Alexandria via LeMat-Bulk.

## Properties
The distance to the lowest polymorph of the same formula is 0 meV per atom. The space group is No. 62. As for the crystal system: orthorhombic. The calculation puts the total DFT energy (no corrections) at -179.6 eV for the cell shown.

Structure (extended XYZ):
```
28
Lattice="-2.662 -0.048 -3.300 -7.054 -10.358 5.841 -8.139 9.169 6.431" Properties=species:S:1:pos:R:3 pbc="T T T"
Ce -15.632 -2.341 8.556
Ce -7.197 -2.446 4.478
Ce -2.223 1.104 0.415
Ce -10.658 1.208 4.493
Ce -11.634 -6.358 5.390
Ce -11.714 2.155 8.054
Ce -6.221 5.121 3.581
Ce -6.142 -3.393 0.917
Ce -8.716 -6.918 3.045
Ce -10.898 -1.491 7.449
Ce -9.139 5.680 5.926
Ce -6.958 0.254 1.522
Te -13.740 -0.037 6.997
Te -8.723 -5.161 5.749
Te -4.115 -1.200 1.974
Te -9.132 3.924 3.222
Te -2.918 -1.280 -1.714
Te -7.425 0.732 4.616
Te -14.937 0.043 10.685
Te -10.430 -1.970 4.355
Te -13.238 -3.745 6.645
Te -5.800 -5.313 3.393
Te -4.618 2.507 2.326
Te -12.055 4.076 5.578
O -10.402 -8.040 4.421
O -10.255 0.807 6.897
O -7.453 6.803 4.550
O -7.600 -2.044 2.074
```

=====

[7]
First-principles (GGA-PBE) data for CeThTe2O after structural relaxation, as listed in Alexandria via LeMat-Bulk.

## Properties
The space group is No. 129. As for the crystal system: tetragonal. The calculation puts the total DFT energy (no corrections) at -68.6 eV for the cell shown.

Structure (extended XYZ):
```
10
Lattice="-0.702 -2.253 3.551 3.217 -2.607 -1.017 9.369 8.690 7.365" Properties=species:S:1:pos:R:3 pbc="T T T"
Ce 5.033 3.868 6.009
Ce 5.593 2.392 2.624
Th 0.505 -0.332 2.449
Th 10.121 6.592 6.183
Te 8.081 4.700 4.580
Te 2.867 -0.136 0.481
Te 7.759 6.396 8.152
Te 2.545 1.560 4.052
O 4.685 4.345 3.683
O 5.942 1.915 4.950
```

=====

[8]
First-principles (GGA-PBE) data for CeThTeO2 after structural relaxation, as listed in Alexandria via LeMat-Bulk.

## Properties
The space group is No. 107. As for the crystal system: tetragonal. The calculation puts the total DFT energy (no corrections) at -40.3 eV for the cell shown.

Structure (extended XYZ):
```
5
Lattice="4.080 0.000 0.000 0.000 4.080 0.000 -2.040 -2.040 6.330" Properties=species:S:1:pos:R:3 pbc="T T T"
Ce 2.040 2.040 4.465
Th 0.000 0.000 1.964
Te 2.040 2.040 0.021
O 2.040 0.000 3.106
O 0.000 2.040 3.106
```

=====

[9]
First-principles (GGA-PBE) data for CeTl2Te2O6 after structural relaxation, as listed in Alexandria via LeMat-Bulk.

## Properties
The space group is No. 12. As for the crystal system: monoclinic. The calculation puts the total DFT energy (no corrections) at -62.4 eV for the cell shown.

Structure (extended XYZ):
```
11
Lattice="-3.677 -5.918 1.467 1.144 2.159 -5.701 5.411 -2.789 2.308" Properties=species:S:1:pos:R:3 pbc="T T T"
Ce 0.867 -4.354 1.888
Tl -1.440 -3.603 -0.863
Tl 4.317 -2.945 -1.063
Te 1.557 -5.734 -1.951
Te 1.320 -0.814 0.025
O 1.651 -5.330 -0.087
O 0.306 -2.525 0.706
O 4.093 -1.573 -3.239
O 2.571 -4.023 -2.632
O -1.216 -4.975 1.313
O 1.227 -1.218 -1.839
```

=====

[10]
First-principles (GGA-PBE) data for CeTlTe2O8 after structural relaxation, as listed in Alexandria via LeMat-Bulk.

## Properties
The space group is No. 147. As for the crystal system: trigonal. The calculation puts the total DFT energy (no corrections) at -70.9 eV for the cell shown.

Structure (extended XYZ):
```
12
Lattice="-3.677 3.262 -3.648 1.457 -5.758 -1.482 -6.341 -2.642 4.030" Properties=species:S:1:pos:R:3 pbc="T T T"
Ce -3.171 -1.321 2.015
Tl 0.000 0.000 0.000
Te -3.450 -0.363 -1.983
Te -5.111 -4.775 0.882
O -6.566 -5.380 1.807
O -3.017 -0.741 -0.196
O -4.832 0.907 -1.971
O -1.996 0.243 -2.907
O -3.730 -6.045 0.871
O -5.545 -4.396 -0.904
O -4.425 -3.202 1.641
O -4.137 -1.936 -2.742
```

=====

[11]
First-principles (GGA-PBE) data for CeTmTeO2 after structural relaxation, as listed in Alexandria via LeMat-Bulk.

## Properties
The space group is No. 107. As for the crystal system: tetragonal. The calculation puts the total DFT energy (no corrections) at -37.9 eV for the cell shown.

Structure (extended XYZ):
```
5
Lattice="3.958 0.000 0.000 0.000 3.958 0.000 -1.979 -1.979 6.296" Properties=species:S:1:pos:R:3 pbc="T T T"
Ce 1.979 1.979 4.336
Tm 0.000 0.000 2.060
Te 1.979 1.979 0.031
O 1.979 0.000 3.082
O 0.000 1.979 3.082
```

=====

[12]
First-principles (GGA-PBE) data for CeTmTe2O after structural relaxation, as listed in Alexandria via LeMat-Bulk.

## Properties
The space group is No. 129. As for the crystal system: tetragonal. The calculation puts the total DFT energy (no corrections) at -63.8 eV for the cell shown.

Structure (extended XYZ):
```
10
Lattice="4.189 0.000 0.000 0.000 4.189 0.000 0.000 0.000 15.303" Properties=species:S:1:pos:R:3 pbc="T T T"
Ce 2.094 0.000 8.798
Ce 0.000 2.094 6.504
Tm 2.094 0.000 1.847
Tm 0.000 2.094 13.455
Te 0.000 2.094 10.553
Te 0.000 2.094 1.378
Te 2.094 0.000 13.924
Te 2.094 0.000 4.750
O 0.000 0.000 7.651
O 2.094 2.094 7.651
```

=====

[13]
First-principles (GGA-PBE) data for CeTmTeO6 after structural relaxation, as listed in Alexandria via LeMat-Bulk.

## Properties
The space group is No. 163. As for the crystal system: trigonal. The calculation puts the total DFT energy (no corrections) at -130.7 eV for the cell shown.

Structure (extended XYZ):
```
18
Lattice="-0.662 5.486 -0.539 -3.966 -3.052 2.404 4.266 1.378 8.789" Properties=species:S:1:pos:R:3 pbc="T T T"
Ce 0.000 0.000 0.000
Ce 2.133 0.689 4.395
Tm -1.799 0.138 3.620
Tm 1.436 3.674 7.034
Te -0.697 2.985 2.639
Te 0.334 0.828 8.015
O -2.350 1.906 2.364
O -1.390 4.463 1.497
O -1.337 -0.223 7.744
O 1.027 -0.651 9.157
O -0.035 1.503 3.797
O -1.591 3.880 4.180
O -0.571 1.693 9.566
O 0.975 4.035 2.910
O 1.228 -0.068 6.475
O 0.208 2.119 1.089
O -0.328 2.309 6.857
O 1.988 1.907 8.290
```

=====

[14]
First-principles (GGA-PBE) data for CeUTeO2 after structural relaxation, as listed in Alexandria via LeMat-Bulk.

## Properties
The space group is No. 107. As for the crystal system: tetragonal. The calculation puts the total DFT energy (no corrections) at -42.9 eV for the cell shown.

Structure (extended XYZ):
```
5
Lattice="-2.156 -0.959 -3.203 -0.446 -3.695 1.406 -4.006 4.122 3.934" Properties=species:S:1:pos:R:3 pbc="T T T"
Ce -4.995 -1.077 1.214
U -1.646 0.557 0.942
Te -1.341 -2.313 -0.876
O -3.695 0.406 -0.105
O -2.840 -0.962 2.200
```

=====

[15]
First-principles (GGA-PBE) data for CeYTeO2 after structural relaxation, as listed in Alexandria via LeMat-Bulk.

## Properties
The space group is No. 107. As for the crystal system: tetragonal. The calculation puts the total DFT energy (no corrections) at -39.8 eV for the cell shown.

Structure (extended XYZ):
```
5
Lattice="-0.454 1.425 3.704 -0.194 -3.732 1.412 6.618 1.122 -1.774" Properties=species:S:1:pos:R:3 pbc="T T T"
Ce 3.989 -1.175 3.095
Y 2.030 -0.010 0.253
Te -0.297 -1.153 2.561
O 2.881 0.697 2.239
O 3.011 -1.881 1.093
```

=====

[16]
First-principles (GGA-PBE) data for Ce3Th2O9 after structural relaxation, as listed in Alexandria via LeMat-Bulk.

## Properties
The distance to the lowest polymorph of the same formula is 0 meV per atom. The space group is No. 8. As for the crystal system: monoclinic. The calculation puts the total DFT energy (no corrections) at -128.0 eV for the cell shown.

Structure (extended XYZ):
```
14
Lattice="1.986 -2.653 -6.005 5.246 -1.472 -4.166 3.349 -9.078 -0.107" Properties=species:S:1:pos:R:3 pbc="T T T"
Ce 7.207 -4.205 -10.074
Ce 8.566 -10.591 -8.381
Ce 6.317 -7.791 -6.194
Th 4.217 -5.338 -4.046
Th 2.063 -2.568 -2.007
O 4.511 -9.327 -2.007
O 5.114 -7.562 -4.208
O 7.604 -8.441 -8.058
O 2.643 -6.946 -0.224
O 2.934 -4.790 -2.124
O 8.037 -6.475 -10.088
O 5.476 -5.594 -6.113
O 5.918 -3.727 -8.095
O 3.396 -2.901 -4.156
```

=====

[17]
First-principles (GGA-PBE) data for Ce4ThO9 after structural relaxation, as listed in Alexandria via LeMat-Bulk.

## Properties
The space group is No. 82. As for the crystal system: tetragonal. The calculation puts the total DFT energy (no corrections) at -125.5 eV for the cell shown.

Structure (extended XYZ):
```
14
Lattice="-4.374 4.374 2.803 4.374 -4.374 2.803 4.374 4.374 -2.803" Properties=species:S:1:pos:R:3 pbc="T T T"
Ce 2.527 5.336 -1.264
Ce 0.962 1.847 4.067
Ce 1.847 -0.962 1.539
Ce 3.412 2.527 1.264
Th 0.000 4.374 1.401
O 0.000 0.000 2.803
O -0.794 2.704 2.833
O 1.670 3.580 -0.030
O 2.392 0.832 -0.021
O 1.982 3.542 2.782
O 2.704 0.794 2.772
O 3.542 -1.982 2.823
O 0.832 6.356 0.021
O 5.169 1.670 0.030
```

=====

[18]
First-principles (GGA-PBE) data for Ce2Th3O9 after structural relaxation, as listed in Alexandria via LeMat-Bulk.

## Properties
The space group is No. 119. As for the crystal system: tetragonal. The calculation puts the total DFT energy (no corrections) at -130.1 eV for the cell shown.

Structure (extended XYZ):
```
14
Lattice="3.922 0.000 -0.550 -0.077 3.922 -0.550 0.000 0.000 14.259" Properties=species:S:1:pos:R:3 pbc="T T T"
Ce 3.681 1.754 11.988
Ce 2.164 0.207 1.171
Th 0.535 2.546 3.814
Th 1.310 3.336 9.345
Th 2.922 0.980 6.580
O 2.319 2.365 2.275
O 0.757 0.772 5.400
O 3.088 3.149 7.759
O 1.526 1.556 10.884
O 3.483 3.552 10.576
O 1.923 1.961 -0.550
O 0.362 0.369 2.584
O 2.700 2.754 4.994
O 1.145 1.168 8.165
```

=====

[19]
First-principles (GGA-PBE) data for Ce3Th2O9 after structural relaxation, as listed in Alexandria via LeMat-Bulk.

## Properties
The distance to the lowest polymorph of the same formula is 109 meV per atom. The space group is No. 119. As for the crystal system: tetragonal. The calculation puts the total DFT energy (no corrections) at -126.5 eV for the cell shown.

Structure (extended XYZ):
```
14
Lattice="-1.578 2.339 2.760 -3.465 -0.110 -1.888 -1.154 -12.321 6.959" Properties=species:S:1:pos:R:3 pbc="T T T"
Ce -2.875 -3.539 1.355
Ce -4.265 -7.778 4.152
Ce -2.627 -4.434 5.078
Th -4.052 -8.780 7.945
Th -1.202 -0.088 2.210
O -3.271 -1.172 1.945
O -1.452 -4.428 2.922
O -4.745 -5.665 4.909
O -2.926 -8.921 5.887
O -5.501 -7.972 6.432
O -2.521 1.115 0.436
O -0.695 -2.120 1.399
O -4.009 -3.421 3.429
O -2.188 -6.672 4.402
```

=====

[20]
First-principles (GGA-PBE) data for Ce3ThO after structural relaxation, as listed in Alexandria via LeMat-Bulk.

## Properties
The space group is No. 221. As for the crystal system: cubic. The calculation puts the total DFT energy (no corrections) at -35.7 eV for the cell shown.

Structure (extended XYZ):
```
5
Lattice="-0.518 -4.567 1.766 3.850 -1.477 -2.691 3.026 1.098 3.727" Properties=species:S:1:pos:R:3 pbc="T T T"
O 0.000 0.000 0.000
Ce 1.925 -0.739 -1.345
Ce 1.513 0.549 1.863
Ce -0.259 -2.284 0.883
Th 3.179 -2.473 1.401
```